Entry 1:
## RuBrN2O (PBE)

Data for a relaxed RuBrN2O crystal.

## Properties
M_tot (μB per atom): 0.13
E_tot (eV per atom): -5.54
Formation energy from raw total energies (meV per atom): 968.7

Lattice parameters (Å, degrees): 3.953 3.953 3.874 90.00 90.00 90.00
Atoms (fractional coordinates):
Ru1 0.000 0.000 0.000
Br1 0.500 0.500 0.500
N1 0.000 0.500 0.000
N2 0.500 0.000 0.000
O1 0.000 0.000 0.500


Entry 2:
## PmNd2Cd4 (PBE)

Data for a relaxed PmNd2Cd4 crystal.

## Properties
M_tot (μB per atom): 0.06
E_tot (eV per atom): -2.73
ΔE_f (meV per atom): -168
Polymorph energy (0 for the lowest one) (meV per atom): 0

Lattice parameters (Å, degrees): 8.123 8.123 8.123 140.96 140.96 56.41
Atoms (fractional coordinates):
Pm1 0.000 0.000 0.000
Nd1 0.262 0.262 0.000
Nd2 0.738 0.738 0.000
Cd1 0.113 0.613 0.500
Cd2 0.387 0.887 0.500
Cd3 0.613 0.113 0.500
Cd4 0.887 0.387 0.500


Entry 3:
## LiPu2TlI8 (PBE)

Data for a relaxed LiPu2TlI8 crystal.

## Properties
M_tot (μB per atom): 0.83
E_tot (eV per atom): -4.76
Formation energy from raw total energies (meV per atom): -980.2

Lattice parameters (Å, degrees): 7.371 9.378 7.766 90.00 95.16 90.00
Atoms (fractional coordinates):
Li1 0.000 0.000 0.000
Pu1 0.500 0.244 0.500
Pu2 0.500 0.756 0.500
Tl1 0.000 0.500 0.000
I1 0.246 0.220 0.165
I2 0.246 0.780 0.165
I3 0.269 0.000 0.647
I4 0.277 0.500 0.637
I5 0.723 0.500 0.363
I6 0.731 0.000 0.353
I7 0.754 0.220 0.835
I8 0.754 0.780 0.835


Entry 4:
## CeReAg (PBE)

Data for a relaxed CeReAg crystal.

## Properties
M_tot (μB per atom): 0.23
E_tot (eV per atom): -7.01
ΔE_f (meV per atom): 69

Lattice parameters (Å, degrees): 3.007 4.220 9.936 90.00 97.10 90.00
Atoms (fractional coordinates):
Ce1 0.154 0.250 0.231
Ce2 0.846 0.750 0.769
Re1 0.306 0.250 0.956
Re2 0.694 0.750 0.044
Ag1 0.274 0.250 0.565
Ag2 0.726 0.750 0.435


Entry 5:
## Ca2HAu (PBE)

Data for a relaxed Ca2HAu crystal.

## Properties
M_tot (μB per atom): 0.00
E_tot (eV per atom): -2.94
Polymorph energy (0 for the lowest one) (meV per atom): 252

Lattice parameters (Å, degrees): 5.031 5.031 5.031 60.00 60.00 60.00
Atoms (fractional coordinates):
Ca1 0.250 0.250 0.250
Ca2 0.750 0.750 0.750
H1 0.000 0.000 0.000
Au1 0.500 0.500 0.500


Entry 6:
## CrOsS2N (PBE)

Data for a relaxed CrOsS2N crystal.

## Properties
M_tot (μB per atom): 0.07
E_tot (eV per atom): -6.57
Polymorph energy (0 for the lowest one) (meV per atom): 402
Formation energy from raw total energies (meV per atom): 918.6

Lattice parameters (Å, degrees): 4.584 4.584 3.400 90.00 90.00 90.00
Atoms (fractional coordinates):
Cr1 0.000 0.000 0.000
Os1 0.500 0.500 0.500
S1 0.000 0.500 0.000
S2 0.500 0.000 0.000
N1 0.000 0.000 0.500


Entry 7:
## BiPb6 (PBE)

Data for a relaxed BiPb6 crystal.

## Properties
M_tot (μB per atom): 0.38
E_tot (eV per atom): -3.13
ΔE_f (meV per atom): 599
Polymorph energy (0 for the lowest one) (meV per atom): 551

Lattice parameters (Å, degrees): 7.430 7.430 7.430 109.47 109.47 109.47
Atoms (fractional coordinates):
Bi1 0.000 0.000 0.000
Pb1 0.250 0.500 0.750
Pb2 0.250 0.750 0.500
Pb3 0.500 0.250 0.750
Pb4 0.500 0.750 0.250
Pb5 0.750 0.250 0.500
Pb6 0.750 0.500 0.250


Entry 8:
## Ba2CaCoBr (PBE)

Data for a relaxed Ba2CaCoBr crystal.

## Properties
M_tot (μB per atom): 0.16
E_tot (eV per atom): -2.83
Formation energy from raw total energies (meV per atom): 94.2

Lattice parameters (Å, degrees): 6.566 6.566 4.572 90.00 90.00 90.00
Atoms (fractional coordinates):
Ba1 0.000 0.500 0.000
Ba2 0.500 0.000 0.000
Ca1 0.000 0.000 0.500
Co1 0.500 0.500 0.000
Br1 0.500 0.500 0.500


Entry 9:
## Pr5NdTe5 (PBE)

Data for a relaxed Pr5NdTe5 crystal.

## Properties
M_tot (μB per atom): 0.00
E_tot (eV per atom): -5.28
Formation energy from raw total energies (meV per atom): -1245.8

Lattice parameters (Å, degrees): 6.350 7.737 8.943 106.84 90.25 113.95
Atoms (fractional coordinates):
Pr1 0.000 0.000 0.000
Pr2 0.330 0.663 0.162
Pr3 0.335 0.672 0.675
Pr4 0.665 0.328 0.325
Pr5 0.670 0.337 0.838
Nd1 0.000 0.000 0.500
Te1 0.165 0.328 0.832
Te2 0.171 0.340 0.338
Te3 0.500 0.000 0.500
Te4 0.829 0.660 0.662
Te5 0.835 0.672 0.168


Entry 10:
## Ho11Cd9Ir4 (PBE)

Data for a relaxed Ho11Cd9Ir4 crystal.

## Properties
M_tot (μB per atom): 0.00
E_tot (eV per atom): -4.45
ΔE_f (meV per atom): -534

Lattice parameters (Å, degrees): 12.966 12.966 3.700 90.00 90.00 112.51
Atoms (fractional coordinates):
Ho1 0.000 0.000 0.000
Ho2 0.086 0.417 0.000
Ho3 0.163 0.837 0.000
Ho4 0.301 0.301 0.000
Ho5 0.367 0.633 0.000
Ho6 0.417 0.086 0.000
Ho7 0.583 0.914 0.000
Ho8 0.633 0.367 0.000
Ho9 0.699 0.699 0.000
Ho10 0.837 0.163 0.000
Ho11 0.914 0.583 0.000
Cd1 0.065 0.212 0.500
Cd2 0.149 0.634 0.500
Cd3 0.212 0.065 0.500
Cd4 0.366 0.851 0.500
Cd5 0.500 0.500 0.500
Cd6 0.634 0.149 0.500
Cd7 0.788 0.935 0.500
Cd8 0.851 0.366 0.500
Cd9 0.935 0.788 0.500
Ir1 0.258 0.453 0.500
Ir2 0.453 0.258 0.500
Ir3 0.547 0.742 0.500
Ir4 0.742 0.547 0.500


Entry 11:
## LaCd2Pt (PBE)

Data for a relaxed LaCd2Pt crystal.

## Properties
M_tot (μB per atom): 0.00
E_tot (eV per atom): -3.70
ΔE_f (meV per atom): -499

Lattice parameters (Å, degrees): 3.566 3.566 7.543 90.00 90.00 90.00
Atoms (fractional coordinates):
La1 0.000 0.000 0.000
Cd1 0.000 0.000 0.434
Cd2 0.500 0.500 0.667
Pt1 0.500 0.500 0.222


Entry 12:
## AcMg2Ga (PBE)

Data for a relaxed AcMg2Ga crystal.

## Properties
M_tot (μB per atom): 0.00
E_tot (eV per atom): -2.84
ΔE_f (meV per atom): -264
Polymorph energy (0 for the lowest one) (meV per atom): 0

Lattice parameters (Å, degrees): 17.582 7.884 6.184 90.00 90.00 90.00
Atoms (fractional coordinates):
Ac1 0.106 0.250 0.241
Ac2 0.145 0.750 0.474
Ac3 0.355 0.250 0.974
Ac4 0.394 0.750 0.741
Ac5 0.606 0.250 0.259
Ac6 0.645 0.750 0.026
Ac7 0.855 0.250 0.526
Ac8 0.894 0.750 0.759
Mg1 0.035 0.058 0.747
Mg2 0.035 0.442 0.747
Mg3 0.216 0.559 0.969
Mg4 0.216 0.941 0.969
Mg5 0.284 0.059 0.469
Mg6 0.284 0.441 0.469
Mg7 0.465 0.558 0.247
Mg8 0.465 0.942 0.247
Mg9 0.535 0.058 0.753
Mg10 0.535 0.442 0.753
Mg11 0.716 0.559 0.531
Mg12 0.716 0.941 0.531
Mg13 0.784 0.059 0.031
Mg14 0.784 0.441 0.031
Mg15 0.965 0.558 0.253
Mg16 0.965 0.942 0.253
Ga1 0.072 0.750 0.982
Ga2 0.177 0.250 0.738
Ga3 0.323 0.750 0.238
Ga4 0.428 0.250 0.482
Ga5 0.572 0.750 0.518
Ga6 0.677 0.250 0.762
Ga7 0.823 0.750 0.262
Ga8 0.928 0.250 0.018


Entry 13:
## KFeOs2 (PBE)

Data for a relaxed KFeOs2 crystal.

## Properties
M_tot (μB per atom): 0.63
E_tot (eV per atom): -6.52
ΔE_f (meV per atom): 1484
Polymorph energy (0 for the lowest one) (meV per atom): 724

Lattice parameters (Å, degrees): 4.501 4.501 4.501 60.00 60.00 60.00
Atoms (fractional coordinates):
K1 0.000 0.000 0.000
Fe1 0.750 0.750 0.750
Os1 0.250 0.250 0.250
Os2 0.500 0.500 0.500


Entry 14:
## Ca2CeYSe4 (PBE)

Data for a relaxed Ca2CeYSe4 crystal.

## Properties
M_tot (μB per atom): 0.18
E_tot (eV per atom): -5.66
Formation energy from raw total energies (meV per atom): -1868.8

Lattice parameters (Å, degrees): 7.190 4.149 7.326 90.00 109.06 90.00
Atoms (fractional coordinates):
Ca1 0.000 0.000 0.000
Ca2 0.500 0.500 0.000
Ce1 0.000 0.500 0.500
Y1 0.500 0.000 0.500
Se1 0.256 0.500 0.251
Se2 0.257 0.000 0.754
Se3 0.743 0.000 0.246
Se4 0.744 0.500 0.749


Entry 15:
## Fe2SbPb (PBE)

Data for a relaxed Fe2SbPb crystal.

## Properties
M_tot (μB per atom): 1.32
E_tot (eV per atom): -5.44
Polymorph energy (0 for the lowest one) (meV per atom): 550
Formation energy from raw total energies (meV per atom): 748.8

Lattice parameters (Å, degrees): 4.834 4.834 4.834 60.00 60.00 60.00
Atoms (fractional coordinates):
Fe1 0.000 0.000 0.000
Fe2 0.250 0.250 0.250
Sb1 0.500 0.500 0.500
Pb1 0.750 0.750 0.750


Entry 16:
## Ho8Tm3Th4 (PBE)

Data for a relaxed Ho8Tm3Th4 crystal.

## Properties
M_tot (μB per atom): 0.00
E_tot (eV per atom): -4.87
ΔE_f (meV per atom): 442

Lattice parameters (Å, degrees): 9.240 9.240 6.597 110.63 110.63 87.95
Atoms (fractional coordinates):
Ho1 0.139 0.861 0.000
Ho2 0.238 0.238 0.015
Ho3 0.245 0.245 0.507
Ho4 0.252 0.748 0.500
Ho5 0.748 0.252 0.500
Ho6 0.755 0.755 0.493
Ho7 0.762 0.762 0.985
Ho8 0.861 0.139 0.000
Tm1 0.000 0.500 0.500
Tm2 0.500 0.000 0.500
Tm3 0.500 0.500 0.500
Th1 0.000 0.000 0.500
Th2 0.000 0.500 0.000
Th3 0.500 0.000 0.000
Th4 0.500 0.500 0.000


Entry 17:
## CuPS2Br (PBE)

Data for a relaxed CuPS2Br crystal.

## Properties
M_tot (μB per atom): 0.00
E_tot (eV per atom): -3.09
Polymorph energy (0 for the lowest one) (meV per atom): 0
Formation energy from raw total energies (meV per atom): 795.0

Lattice parameters (Å, degrees): 4.373 4.373 5.218 90.00 90.00 90.00
Atoms (fractional coordinates):
Cu1 0.000 0.000 0.000
P1 0.000 0.000 0.500
S1 0.000 0.500 0.000
S2 0.500 0.000 0.000
Br1 0.500 0.500 0.500


Entry 18:
## Nd2Ga6Ir (PBE)

Data for a relaxed Nd2Ga6Ir crystal.

## Properties
M_tot (μB per atom): 0.00
E_tot (eV per atom): -4.71
ΔE_f (meV per atom): -645
Polymorph energy (0 for the lowest one) (meV per atom): 0

Lattice parameters (Å, degrees): 6.296 6.296 6.296 60.00 60.00 60.00
Atoms (fractional coordinates):
Nd1 0.250 0.250 0.250
Nd2 0.750 0.750 0.750
Ga1 0.216 0.216 0.784
Ga2 0.216 0.784 0.216
Ga3 0.216 0.784 0.784
Ga4 0.784 0.216 0.216
Ga5 0.784 0.216 0.784
Ga6 0.784 0.784 0.216
Ir1 0.500 0.500 0.500


Entry 19:
## CsInCoH6 (PBE)

Data for a relaxed CsInCoH6 crystal.

## Properties
M_tot (μB per atom): 0.00
E_tot (eV per atom): -3.46

Lattice parameters (Å, degrees): 4.643 4.643 6.440 90.00 90.00 120.00
Atoms (fractional coordinates):
Cs1 0.000 0.000 0.000
In1 0.333 0.667 0.500
Co1 0.667 0.333 0.500
H1 0.425 0.072 0.666
H2 0.425 0.353 0.334
H3 0.647 0.072 0.334
H4 0.647 0.575 0.666
H5 0.928 0.353 0.666
H6 0.928 0.575 0.334


Entry 20:
## NdDy3Co2 (PBE)

Data for a relaxed NdDy3Co2 crystal.

## Properties
M_tot (μB per atom): 0.00
E_tot (eV per atom): -5.59
ΔE_f (meV per atom): -121

Lattice parameters (Å, degrees): 8.490 8.490 11.848 124.01 124.01 25.52
Atoms (fractional coordinates):
Nd1 0.156 0.156 0.245
Nd2 0.844 0.844 0.755
Dy1 0.158 0.158 0.750
Dy2 0.414 0.414 0.062
Dy3 0.416 0.416 0.553
Dy4 0.584 0.584 0.447
Dy5 0.586 0.586 0.938
Dy6 0.842 0.842 0.250
Co1 0.234 0.234 0.046
Co2 0.236 0.236 0.550
Co3 0.764 0.764 0.450
Co4 0.766 0.766 0.954